--- A ---
Below is an optimized crystal structure of YVHg2, with properties calculated at the PBE-GGA level.

Calculated values
Crystal system = cubic
Space-group type = Fm-3m, No. 225

a = 5.0082 Å, b = 5.0082 Å, c = 5.0082 Å
α = 60.00°, β = 60.00°, γ = 60.00°
Each line ends with the local moment (μB).
Atoms (fractional coordinates):
Y1 0.5000 0.5000 0.5000  0.06
Hg1 0.2500 0.2500 0.2500  0.01
Hg2 0.7500 0.7500 0.7500  0.01
V1 0.0000 0.0000 0.0000  2.62

--- B ---
Below is an optimized crystal structure of YVHg2, with properties calculated at the PBE-GGA level.

Calculated values
Crystal system = tetragonal
Space-group type = I-42d, No. 122

a = 4.4729 Å, b = 4.4729 Å, c = 10.6014 Å
α = 77.82°, β = 77.82°, γ = 90.00°
Each line ends with the local moment (μB).
Atoms (fractional coordinates):
Y1 0.0000 0.0000 0.0000  0.14
Y2 0.7500 0.2500 0.5000  0.14
Hg1 0.5876 0.1250 0.2500  0.02
Hg2 0.1624 0.6250 0.2500  0.02
Hg3 0.3750 0.4124 0.7500  0.02
Hg4 0.8750 0.8376 0.7500  0.02
V1 0.5000 0.5000 0.0000  2.69
V2 0.2500 0.7500 0.5000  2.69

Stability, highest: A

--- A ---
Below is an optimized crystal structure of V2Zn2Hg, with properties calculated at the PBE-GGA level.

Calculated values
Crystal system = tetragonal
Space-group type = P4/mbm, No. 127

a = 7.2308 Å, b = 7.2308 Å, c = 3.1688 Å
α = 90.00°, β = 90.00°, γ = 90.00°
Atoms (fractional coordinates):
Zn1 0.1978 0.6978 0.5000
Zn2 0.6978 0.8022 0.5000
Zn3 0.8022 0.3022 0.5000
Zn4 0.3022 0.1978 0.5000
Hg1 0.0000 0.0000 0.0000
Hg2 0.5000 0.5000 0.0000
V1 0.4041 0.9041 0.0000
V2 0.9041 0.5959 0.0000
V3 0.5959 0.0959 0.0000
V4 0.0959 0.4041 0.0000

--- B ---
Below is an optimized crystal structure of V2Zn2Hg, with properties calculated at the PBE-GGA level.

Calculated values
Crystal system = tetragonal
Space-group type = P4/mbm, No. 127

a = 7.1064 Å, b = 7.1064 Å, c = 3.0690 Å
α = 90.00°, β = 90.00°, γ = 90.00°
Each line ends with the local moment (μB).
Atoms (fractional coordinates):
Zn1 0.3783 0.8783 0.0000  0.00
Zn2 0.8783 0.6217 0.0000  0.00
Zn3 0.6217 0.1217 0.0000  0.00
Zn4 0.1217 0.3783 0.0000  0.00
Hg1 0.0000 0.0000 0.0000  -0.02
Hg2 0.5000 0.5000 0.0000  -0.02
V1 0.1754 0.6754 0.5000  0.41
V2 0.6754 0.8246 0.5000  0.41
V3 0.8246 0.3246 0.5000  0.41
V4 0.3246 0.1754 0.5000  0.41

Stability, highest: A

--- A ---
Below is an optimized crystal structure of V2ZnHg, with properties calculated at the PBE-GGA level.

Calculated values
Crystal system = cubic
Space-group type = Fm-3m, No. 225

a = 4.4727 Å, b = 4.4727 Å, c = 4.4727 Å
α = 60.00°, β = 60.00°, γ = 60.00°
Each line ends with the local moment (μB).
Atoms (fractional coordinates):
Zn1 0.0000 0.0000 0.0000  -0.01
Hg1 0.5000 0.5000 0.5000  -0.02
V1 0.2500 0.2500 0.2500  0.84
V2 0.7500 0.7500 0.7500  0.84

--- B ---
Below is an optimized crystal structure of V2ZnHg, with properties calculated at the PBE-GGA level.

Calculated values
Crystal system = tetragonal
Space-group type = I-42d, No. 122

a = 7.1984 Å, b = 7.1984 Å, c = 5.7121 Å
α = 50.94°, β = 50.94°, γ = 90.00°
Atoms (fractional coordinates):
Zn1 0.5000 0.5000 0.0000
Zn2 0.2500 0.7500 0.5000
Hg1 0.0000 0.0000 0.0000
Hg2 0.7500 0.2500 0.5000
V1 0.6137 0.1250 0.2500
V2 0.1363 0.6250 0.2500
V3 0.3750 0.3863 0.7500
V4 0.8750 0.8637 0.7500

Stability, highest: A